DFT (GGA-PBE) results for a relaxed RbTl2Cd2 crystal.

Unit cell a=4.8418 b=4.8418 c=8.7317 alpha=90.00 beta=90.00 gamma=116.35
Element x y z (fractional)
Rb1 0.0000 0.0000 0.0000
Tl1 0.5000 0.5000 0.2997
Tl2 0.5000 0.5000 0.7003
Cd1 0.1707 0.8293 0.5000
Cd2 0.8293 0.1707 0.5000

Properties
**Mass density**: 6.51 g/cm3
**Final energy**: -7.70 eV per cell
**SG**: Cmmm (65)
**ΔE_f**: -35 meV per atom
**ΔE to the lowest computed polymorph**: 0.091 eV/f.u.

=====

DFT (GGA-PBE) results for a relaxed Ca3PbI crystal.

Unit cell a=6.0673 b=6.0673 c=6.0673 alpha=90.00 beta=90.00 gamma=90.00
Element x y z (fractional)
Ca1 0.0000 0.0000 0.5000
Ca2 0.0000 0.5000 0.0000
Ca3 0.5000 0.0000 0.0000
Pb1 0.0000 0.0000 0.0000
I1 0.5000 0.5000 0.5000

Properties
**Mass density**: 3.38 g/cm3
**Final energy**: -13.33 eV per cell
**SG**: Pm-3m (221)
**Uncorrected formation energy**: -0.4143 eV/atom
**ΔE to the lowest computed polymorph**: 0.000 eV/f.u.

=====

DFT (GGA-PBE) results for a relaxed U2Al3Cu7 crystal.

Unit cell a=5.0971 b=4.1499 c=8.8887 alpha=90.00 beta=91.43 gamma=90.00
Element x y z (fractional)
U1 0.2425 0.0000 0.2504
U2 0.7575 0.0000 0.7496
Al1 0.0000 0.5000 0.0000
Al2 0.2648 0.5000 0.7435
Al3 0.7352 0.5000 0.2565
Cu1 0.0000 0.5000 0.5000
Cu2 0.2510 0.0000 0.5795
Cu3 0.2600 0.0000 0.9162
Cu4 0.5000 0.5000 0.0000
Cu5 0.5000 0.5000 0.5000
Cu6 0.7400 0.0000 0.0838
Cu7 0.7490 0.0000 0.4205

Properties
**Mass density**: 8.85 g/cm3
**Final energy**: -63.43 eV per cell
**SG**: P2/m (10)
**ΔE_f**: -79 meV per atom

=====

DFT (GGA-PBE) results for a relaxed LaAsBr crystal.

Unit cell a=4.3450 b=4.3450 c=12.6796 alpha=90.00 beta=90.00 gamma=120.00
Element x y z (fractional)
La1 0.3333 0.6667 0.3100
La2 0.6667 0.3333 0.6900
As1 0.3333 0.6667 0.5489
As2 0.6667 0.3333 0.4511
Br1 0.0000 0.0000 0.1649
Br2 0.0000 0.0000 0.8351

Properties
**Mass density**: 4.71 g/cm3
**Final energy**: -30.15 eV per cell
**SG**: P-3m1 (164)
**Uncorrected formation energy**: -1.2757 eV/atom
**ΔE to the lowest computed polymorph**: 0.000 eV/f.u.

=====

DFT (GGA-PBE) results for a relaxed TaRe2As crystal.

Unit cell a=5.3120 b=5.3120 c=5.3120 alpha=146.75 beta=130.04 gamma=61.33
Element x y z (fractional)
Ta1 0.0000 0.0000 0.0000
Re1 0.2761 0.7761 0.5000
Re2 0.7239 0.2239 0.5000
As1 0.5000 0.5000 0.0000

Properties
**Mass density**: 16.75 g/cm3
**Final energy**: -41.11 eV per cell
**SG**: Immm (71)
**ΔE_f**: 72 meV per atom

=====

DFT (GGA-PBE) results for a relaxed WSe2I crystal.

Unit cell a=6.0803 b=7.2370 c=7.2667 alpha=72.81 beta=71.59 gamma=79.88
Element x y z (fractional)
W1 0.0000 0.0000 0.0000
W2 0.4565 0.8618 0.0583
Se1 0.1850 0.1011 0.2024
Se2 0.6802 0.9116 0.2895
Se3 0.7004 0.0028 0.7501
Se4 0.9740 0.2950 0.7675
I1 0.2321 0.6871 0.8788
I2 0.5145 0.4926 0.2857

Properties
**Mass density**: 5.39 g/cm3
**Final energy**: -44.03 eV per cell
**SG**: P1 (1)
**Uncorrected formation energy**: -0.1362 eV/atom
**ΔE to the lowest computed polymorph**: 0.575 eV/f.u.

=====

DFT (GGA-PBE) results for a relaxed LaDy12Ho7 crystal.

Unit cell a=9.7857 b=9.7857 c=9.7857 alpha=109.47 beta=109.47 gamma=109.47
Element x y z (fractional)
La1 0.0000 0.0000 0.0000
Dy1 0.0000 0.2592 0.7408
Dy2 0.0000 0.7408 0.2592
Dy3 0.2592 0.0000 0.7408
Dy4 0.2592 0.2592 0.5183
Dy5 0.2592 0.5183 0.2592
Dy6 0.2592 0.7408 0.0000
Dy7 0.4817 0.7408 0.7408
Dy8 0.5183 0.2592 0.2592
Dy9 0.7408 0.0000 0.2592
Dy10 0.7408 0.2592 0.0000
Dy11 0.7408 0.4817 0.7408
Dy12 0.7408 0.7408 0.4817
Ho1 0.0000 0.0000 0.5000
Ho2 0.0000 0.5000 0.0000
Ho3 0.0000 0.5000 0.5000
Ho4 0.5000 0.0000 0.0000
Ho5 0.5000 0.0000 0.5000
Ho6 0.5000 0.5000 0.0000
Ho7 0.5000 0.5000 0.5000

Properties
**Mass density**: 7.47 g/cm3
**Final energy**: -78.23 eV per cell
**SG**: Im-3m (229)
**ΔE_f**: 699 meV per atom
**ΔE to the lowest computed polymorph**: 9.191 eV/f.u.

=====

DFT (GGA-PBE) results for a relaxed Sr2Li2I7 crystal.

Unit cell a=8.4794 b=8.4794 c=7.8075 alpha=99.99 beta=99.99 gamma=110.61
Element x y z (fractional)
Sr1 0.1998 0.8002 0.0000
Sr2 0.8002 0.1998 0.0000
Li1 0.2532 0.2532 0.6059
Li2 0.7468 0.7468 0.3941
I1 0.0449 0.3975 0.7489
I2 0.1594 0.1594 0.2081
I3 0.3975 0.0449 0.7489
I4 0.5000 0.5000 0.5000
I5 0.6025 0.9551 0.2511
I6 0.8406 0.8406 0.7919
I7 0.9551 0.6025 0.2511

Properties
**Mass density**: 3.58 g/cm3
**Final energy**: -32.15 eV per cell
**SG**: C2/m (12)
**Uncorrected formation energy**: -1.2825 eV/atom

=====

DFT (GGA-PBE) results for a relaxed Be2TcAs crystal.

Unit cell a=5.1602 b=5.1602 c=5.1602 alpha=103.89 beta=103.89 gamma=121.33
Element x y z (fractional)
Be1 0.1045 0.6250 0.9795
Be2 0.3750 0.3545 0.4795
Be3 0.6455 0.1250 0.0205
Be4 0.8750 0.8955 0.5205
Tc1 0.2500 0.7500 0.5000
Tc2 0.5000 0.5000 0.0000
As1 0.0000 0.0000 0.0000
As2 0.7500 0.2500 0.5000

Properties
**Mass density**: 6.20 g/cm3
**Final energy**: -41.14 eV per cell
**SG**: I-42d (122)
**ΔE_f**: 475 meV per atom

=====

DFT (GGA-PBE) results for a relaxed As2IrPb crystal.

Unit cell a=3.1471 b=3.1471 c=8.4985 alpha=90.00 beta=90.00 gamma=90.00
Element x y z (fractional)
As1 0.0000 0.0000 0.1771
As2 0.0000 0.0000 0.8229
Ir1 0.5000 0.5000 0.0000
Pb1 0.5000 0.5000 0.5000

Properties
**Mass density**: 10.84 g/cm3
**Final energy**: -21.47 eV per cell
**SG**: P4/mmm (123)
**ΔE_f**: 99 meV per atom
**ΔE to the lowest computed polymorph**: 0.613 eV/f.u.

=====

DFT (GGA-PBE) results for a relaxed ThGa2Ag crystal.

Unit cell a=4.9605 b=4.9605 c=4.9605 alpha=60.00 beta=60.00 gamma=60.00
Element x y z (fractional)
Th1 0.0000 0.0000 0.0000
Ga1 0.2500 0.2500 0.2500
Ga2 0.7500 0.7500 0.7500
Ag1 0.5000 0.5000 0.5000

Properties
**Mass density**: 9.22 g/cm3
**Final energy**: -17.27 eV per cell
**SG**: Fm-3m (225)
**ΔE_f**: -237 meV per atom
**ΔE to the lowest computed polymorph**: 0.734 eV/f.u.

=====

DFT (GGA-PBE) results for a relaxed Tb9Dy3Y2 crystal.

Unit cell a=5.0311 b=9.4135 c=10.6683 alpha=67.84 beta=76.44 gamma=74.54
Element x y z (fractional)
Tb1 0.0000 0.0000 0.0000
Tb2 0.2141 0.6433 0.9286
Tb3 0.2859 0.8577 0.5707
Tb4 0.3574 0.0710 0.2143
Tb5 0.4287 0.2851 0.8571
Tb6 0.5713 0.7149 0.1429
Tb7 0.6426 0.9290 0.7857
Tb8 0.7141 0.1423 0.4293
Tb9 0.7859 0.3567 0.0714
Dy1 0.0715 0.2138 0.6431
Dy2 0.5000 0.5000 0.5000
Dy3 0.9285 0.7862 0.3569
Y1 0.1426 0.4285 0.2863
Y2 0.8574 0.5715 0.7137

Properties
**Mass density**: 7.80 g/cm3
**Final energy**: -68.17 eV per cell
**SG**: P-1 (2)
**ΔE_f**: 17 meV per atom

=====

DFT (GGA-PBE) results for a relaxed SmAg2Sn3 crystal.

Unit cell a=8.5887 b=8.5887 c=5.9344 alpha=90.00 beta=90.00 gamma=137.32
Element x y z (fractional)
Sm1 0.1693 0.8307 0.7500
Sm2 0.8307 0.1693 0.2500
Ag1 0.2419 0.2419 0.0000
Ag2 0.2419 0.2419 0.5000
Ag3 0.7581 0.7581 0.0000
Ag4 0.7581 0.7581 0.5000
Sn1 0.0912 0.3954 0.7500
Sn2 0.3628 0.6372 0.2500
Sn3 0.3954 0.0912 0.2500
Sn4 0.6046 0.9088 0.7500
Sn5 0.6372 0.3628 0.7500
Sn6 0.9088 0.6046 0.2500

Properties
**Mass density**: 8.08 g/cm3
**Final energy**: -47.62 eV per cell
**SG**: Cmcm (63)
**ΔE_f**: -230 meV per atom
**ΔE to the lowest computed polymorph**: 0.181 eV/f.u.